HoVO4F | the Alexandria database | GGA+U | optimized geometry; space-group type = C2/m; E = -0.2685 Ha/atom; V = 15.4 Å³ per atom
1.0
5.8873 -0.2056 -0.2633
1.7561 5.6230 -0.2633
1.2708 0.9007 6.3468
V Ho F O
2 2 2 8
Direct
0.3724 0.3724 0.2880
0.6276 0.6276 0.7120
0.8054 0.8054 0.0813
0.1946 0.1946 0.9187
0.9854 0.9854 0.8100
0.0146 0.0146 0.1900
0.8753 0.5058 0.8418
0.4942 0.1247 0.1582
0.1247 0.4942 0.1582
0.5618 0.5618 0.2419
0.6954 0.6954 0.4442
0.3046 0.3046 0.5558
0.4382 0.4382 0.7581
0.5058 0.8753 0.8418